Record 1
# YTcOs2 (PBE, optimized geometry)
data_YTcOs2
_chemical_formula_sum 'Y1 Tc1 Os2'
_cell_length_a 2.873
_cell_length_b 2.873
_cell_length_c 8.273
_cell_angle_alpha 90.00
_cell_angle_beta 90.00
_cell_angle_gamma 90.00
_space_group_name_H-M_alt 'P 4 m m'
_space_group_IT_number 99
loop_
_space_group_symop_operation_xyz
'x,y,z'
'-y,x,z'
'-x,-y,z'
'y,-x,z'
'-x,y,z'
'y,x,z'
'x,-y,z'
'-y,-x,z'
loop_
_atom_site_label
_atom_site_fract_x
_atom_site_fract_y
_atom_site_fract_z
Y1 0.000 0.000 0.000
Tc1 0.500 0.500 0.710
Os1 0.000 0.000 0.491
Os2 0.500 0.500 0.284
# Total magnetization   0.00 μB/cell
# Volume   68.3 Å³ per cell
# Distance to the lowest polymorph of the same formula   104 meV per atom
# E   -38.17 eV per cell
# E_form   27.1 kJ/mol of atoms

---

Record 2
# TbDy2Si6 (PBE, optimized geometry)
data_TbDy2Si6
_chemical_formula_sum 'Tb1 Dy2 Si6'
_cell_length_a 7.0946
_cell_length_b 7.0946
_cell_length_c 3.9480
_cell_angle_alpha 90.00
_cell_angle_beta 90.00
_cell_angle_gamma 120.00
_space_group_name_H-M_alt 'P 6/m m m'
_space_group_IT_number 191
_space_group_name_Hall '-P 6 2'
loop_
_atom_site_label
_atom_site_fract_x
_atom_site_fract_y
_atom_site_fract_z
Tb1 0.0000 0.0000 0.0000
Dy1 0.3333 0.6667 0.0000
Si1 0.0000 0.3337 0.5000
# Formation energy (no corrections)   -534 meV per atom
# Total magnetization   0.00 μB/cell
# Volume   172.1 Å³ per cell
# E   -51.18 eV per cell

---

Record 3
# KPdBr2Cl (PBE, optimized geometry)
data_KPdBr2Cl
_chemical_formula_sum 'K1 Pd1 Br2 Cl1'
_cell_length_a 5.259
_cell_length_b 5.259
_cell_length_c 4.952
_cell_angle_alpha 90.00
_cell_angle_beta 90.00
_cell_angle_gamma 90.00
_space_group_name_H-M_alt 'P 4/m m m'
_space_group_IT_number 123
_space_group_name_Hall '-P 4 2'
loop_
_atom_site_label
_atom_site_fract_x
_atom_site_fract_y
_atom_site_fract_z
K1 0.000 0.000 0.000
Pd1 0.500 0.500 0.500
Br1 0.000 0.500 0.500
Cl1 0.500 0.500 0.000
# Formation energy (no corrections)   -923 meV per atom
# Total magnetization   0.00 μB/cell
# Volume   136.9 Å³ per cell
# E   -16.10 eV per cell